[1]
A plane-wave DFT calculation with GGA-PBEsol was carried out for a relaxed TlZn2In crystal.

a b c (Å): 3.2135 3.2135 8.0013
angles (deg): 90.00 90.00 90.00
Space group P4mm (No. 99)
Unique sites:
Tl 0.0000 0.0000 0.0000 x1
Zn 0.0000 0.0000 0.4299 x1
Zn 0.5000 0.5000 0.2671 x1
In 0.5000 0.5000 0.6763 x1

Properties
total magnetic moment	0.00	μB/f.u.
crystal system	tetragonal
total energy	-2.08	eV/atom
formation enthalpy at 0 K	0.12	eV/atom

***

[2]
A plane-wave DFT calculation with GGA-PBEsol was carried out for a relaxed TlZnIn crystal.

a b c (Å): 3.4174 3.4174 11.7593
angles (deg): 90.00 90.00 90.00
Space group I4mm (No. 107)
Unique sites:
Tl 0.0000 0.0000 0.0000 x2
Zn 0.0000 0.0000 0.6611 x2
In 0.0000 0.0000 0.3022 x2

Properties
total magnetic moment	0.00	μB/f.u.
crystal system	tetragonal
total energy	-2.28	eV/atom
formation enthalpy at 0 K	0.12	eV/atom

***

[3]
A plane-wave DFT calculation with GGA-PBEsol was carried out for a relaxed TlZn3In crystal.

a b c (Å): 5.0974 5.0974 5.0974
angles (deg): 90.00 90.00 90.00
Space group Pm-3m (No. 221)
Unique sites:
Tl 0.0000 0.0000 0.0000 x1
Zn 0.0000 0.0000 0.5000 x3
In 0.5000 0.5000 0.5000 x1

Properties
total magnetic moment	0.00	μB/f.u.
crystal system	cubic
total energy	-1.46	eV/atom
formation enthalpy at 0 K	0.62	eV/atom

***

[4]
A plane-wave DFT calculation with GGA-PBEsol was carried out for a relaxed TlZnIn3 crystal.

a b c (Å): 5.6595 5.6595 5.6595
angles (deg): 90.00 90.00 90.00
Space group Pm-3m (No. 221)
Unique sites:
Tl 0.0000 0.0000 0.0000 x1
Zn 0.5000 0.5000 0.5000 x1
In 0.0000 0.0000 0.5000 x3

Properties
total magnetic moment	0.00	μB/f.u.
crystal system	cubic
total energy	-1.95	eV/atom
formation enthalpy at 0 K	0.69	eV/atom

***

[5]
A plane-wave DFT calculation with GGA-PBEsol was carried out for a relaxed ZrTl2In crystal.

a b c (Å): 7.2791 7.2791 7.2791
angles (deg): 90.00 90.00 90.00
Space group Fm-3m (No. 225)
Unique sites:
Zr 0.0000 0.0000 0.0000 x4
Tl 0.2500 0.2500 0.2500 x8
In 0.0000 0.0000 0.5000 x4

Properties
total magnetic moment	0.24	μB/f.u.
crystal system	cubic
total energy	-4.07	eV/atom
formation enthalpy at 0 K	0.26	eV/atom
energy above the most stable polymorph in this dataset	356	meV per atom

***

[6]
A plane-wave DFT calculation with GGA-PBEsol was carried out for a relaxed ZrTlIn2 crystal.

a b c (Å): 3.1673 5.2967 5.4865
angles (deg): 90.00 90.00 90.00
Space group Pmm2 (No. 25)
Unique sites:
Zr 0.0000 0.0000 0.0000 x1
Tl 0.0000 0.5000 0.3374 x1
In 0.5000 0.0000 0.4999 x1
In 0.5000 0.5000 0.8519 x1

Properties
total magnetic moment	0.00	μB/f.u.
crystal system	orthorhombic
total energy	-4.53	eV/atom
formation enthalpy at 0 K	-0.11	eV/atom
energy above the most stable polymorph in this dataset	97	meV per atom

***

[7]
A plane-wave DFT calculation with GGA-PBEsol was carried out for a relaxed ZrTl2In crystal.

a b c (Å): 4.2661 4.2661 9.9821
angles (deg): 90.00 90.00 90.00
Space group I-4m2 (No. 119)
Unique sites:
Zr 0.0000 0.0000 0.0000 x2
Tl 0.0000 0.0000 0.5000 x2
Tl 0.0000 0.5000 0.2500 x2
In 0.0000 0.5000 0.7500 x2

Properties
total magnetic moment	0.00	μB/f.u.
crystal system	tetragonal
total energy	-4.43	eV/atom
formation enthalpy at 0 K	-0.09	eV/atom
energy above the most stable polymorph in this dataset	0	meV per atom

***

[8]
A plane-wave DFT calculation with GGA-PBEsol was carried out for a relaxed Zr3TlIn crystal.

a b c (Å): 5.2010 5.2010 5.2010
angles (deg): 90.00 90.00 90.00
Space group Pm-3m (No. 221)
Unique sites:
Zr 0.0000 0.0000 0.5000 x3
Tl 0.5000 0.5000 0.5000 x1
In 0.0000 0.0000 0.0000 x1

Properties
total magnetic moment	0.00	μB/f.u.
crystal system	cubic
total energy	-5.72	eV/atom
formation enthalpy at 0 K	0.86	eV/atom

***

[9]
A plane-wave DFT calculation with GGA-PBEsol was carried out for a relaxed ZrTlIn2 crystal.

a b c (Å): 4.2382 4.2382 9.8802
angles (deg): 90.00 90.00 90.00
Space group I4/mmm (No. 139)
Unique sites:
Zr 0.0000 0.0000 0.0000 x2
Tl 0.0000 0.0000 0.5000 x2
In 0.0000 0.5000 0.2500 x4

Properties
total magnetic moment	0.00	μB/f.u.
crystal system	tetragonal
total energy	-4.62	eV/atom
formation enthalpy at 0 K	-0.20	eV/atom
energy above the most stable polymorph in this dataset	0	meV per atom

***

[10]
A plane-wave DFT calculation with GGA-PBEsol was carried out for a relaxed ZrTlIn3 crystal.

a b c (Å): 5.3793 5.3793 5.3793
angles (deg): 90.00 90.00 90.00
Space group Pm-3m (No. 221)
Unique sites:
Zr 0.0000 0.0000 0.0000 x1
Tl 0.5000 0.5000 0.5000 x1
In 0.0000 0.5000 0.5000 x3

Properties
total magnetic moment	0.00	μB/f.u.
crystal system	cubic
total energy	-3.14	eV/atom
formation enthalpy at 0 K	0.99	eV/atom

***

[11]
A plane-wave DFT calculation with GGA-PBEsol was carried out for a relaxed ZrTl2In crystal.

a b c (Å): 11.6911 3.4518 5.2013
angles (deg): 90.00 116.20 90.00
Space group C2/m (No. 12)
Unique sites:
Zr 0.0000 0.0000 0.0000 x2
Tl 0.2457 0.5000 0.2456 x4
In 0.0000 0.5000 0.5000 x2

Properties
total magnetic moment	0.00	μB/f.u.
crystal system	monoclinic
total energy	-4.34	eV/atom
formation enthalpy at 0 K	-0.01	eV/atom
energy above the most stable polymorph in this dataset	83	meV per atom

***

[12]
A plane-wave DFT calculation with GGA-PBEsol was carried out for a relaxed TmIn3 crystal.

a b c (Å): 4.5255 4.5255 4.5255
angles (deg): 90.00 90.00 90.00
Space group Pm-3m (No. 221)
Unique sites:
Tm 0.0000 0.0000 0.0000 x1
In 0.0000 0.5000 0.5000 x3

Properties
total magnetic moment	0.00	μB/f.u.
crystal system	cubic
total energy	-3.89	eV/atom
formation enthalpy at 0 K	-0.43	eV/atom

***

[13]
A plane-wave DFT calculation with GGA-PBEsol was carried out for a relaxed Tm2ZnIn crystal.

a b c (Å): 7.1301 7.1301 7.1301
angles (deg): 90.00 90.00 90.00
Space group Fm-3m (No. 225)
Unique sites:
Tm 0.2500 0.2500 0.2500 x8
Zn 0.0000 0.0000 0.0000 x4
In 0.0000 0.0000 0.5000 x4

Properties
total magnetic moment	0.00	μB/f.u.
crystal system	cubic
total energy	-4.01	eV/atom
formation enthalpy at 0 K	-0.42	eV/atom

***

[14]
A plane-wave DFT calculation with GGA-PBEsol was carried out for a relaxed UIn3 crystal.

a b c (Å): 4.5426 4.5426 4.5426
angles (deg): 90.00 90.00 90.00
Space group Pm-3m (No. 221)
Unique sites:
U 0.0000 0.0000 0.0000 x1
In 0.0000 0.5000 0.5000 x3

Properties
total magnetic moment	2.52	μB/f.u.
crystal system	cubic
total energy	-5.23	eV/atom
formation enthalpy at 0 K	0.05	eV/atom

***

[15]
A plane-wave DFT calculation with GGA-PBEsol was carried out for a relaxed YInW2 crystal.

a b c (Å): 3.1629 3.1629 27.9566
angles (deg): 90.00 90.00 120.00
Space group R3m (No. 160, hexagonal axes)
Unique sites:
Y 0.0000 0.0000 0.0000 x3
In 0.0000 0.0000 0.7644 x3
W 0.0000 0.0000 0.2468 x3
W 0.0000 0.0000 0.5161 x3

Properties
total magnetic moment	0.00	μB/f.u.
crystal system	trigonal
total energy	-8.96	eV/atom
formation enthalpy at 0 K	0.39	eV/atom

***

[16]
A plane-wave DFT calculation with GGA-PBEsol was carried out for a relaxed Zn2InW crystal.

a b c (Å): 3.4049 3.4049 5.6834
angles (deg): 90.00 90.00 90.00
Space group P4/mmm (No. 123)
Unique sites:
Zn 0.0000 0.0000 0.2167 x2
In 0.5000 0.5000 0.5000 x1
W 0.5000 0.5000 0.0000 x1

Properties
total magnetic moment	0.00	μB/f.u.
crystal system	tetragonal
total energy	-4.52	eV/atom
formation enthalpy at 0 K	0.47	eV/atom

***

[17]
A plane-wave DFT calculation with GGA-PBEsol was carried out for a relaxed ZrInW3 crystal.

a b c (Å): 4.7523 4.7523 4.7523
angles (deg): 90.00 90.00 90.00
Space group Pm-3m (No. 221)
Unique sites:
Zr 0.0000 0.0000 0.0000 x1
In 0.5000 0.5000 0.5000 x1
W 0.0000 0.0000 0.5000 x3

Properties
total magnetic moment	0.00	μB/f.u.
crystal system	cubic
total energy	-8.28	eV/atom
formation enthalpy at 0 K	2.42	eV/atom

***

[18]
A plane-wave DFT calculation with GGA-PBEsol was carried out for a relaxed Y3In5 crystal.

a b c (Å): 9.0165 9.3470 4.6643
angles (deg): 90.00 90.00 90.00
Space group Cmmm (No. 65)
Unique sites:
Y 0.0000 0.0000 0.0000 x2
Y 0.0000 0.2725 0.5000 x4
In 0.0000 0.5000 0.0000 x2
In 0.2347 0.0000 0.5000 x4
In 0.2500 0.2500 0.0000 x4

Properties
total magnetic moment	0.00	μB/f.u.
crystal system	orthorhombic
total energy	-4.94	eV/atom
formation enthalpy at 0 K	-0.51	eV/atom
energy above the most stable polymorph in this dataset	48	meV per atom

***

[19]
A plane-wave DFT calculation with GGA-PBEsol was carried out for a relaxed Y5In crystal.

a b c (Å): 3.5194 3.5194 14.0871
angles (deg): 90.00 90.00 90.00
Space group P4/mmm (No. 123)
Unique sites:
Y 0.0000 0.0000 0.0000 x1
Y 0.0000 0.0000 0.3532 x2
Y 0.5000 0.5000 0.1753 x2
In 0.5000 0.5000 0.5000 x1

Properties
total magnetic moment	0.00	μB/f.u.
crystal system	tetragonal
total energy	-6.36	eV/atom
formation enthalpy at 0 K	-0.18	eV/atom
energy above the most stable polymorph in this dataset	12	meV per atom

***

[20]
A plane-wave DFT calculation with GGA-PBEsol was carried out for a relaxed Y5In crystal.

a b c (Å): 5.4450 3.5534 17.9075
angles (deg): 90.00 90.00 90.00
Space group Amm2 (No. 38)
Unique sites:
Y 0.0000 0.0000 0.0000 x2
Y 0.0000 0.0000 0.3243 x2
Y 0.0000 0.0000 0.6574 x2
Y 0.5000 0.0000 0.2072 x2
Y 0.5000 0.0000 0.8801 x2
In 0.5000 0.0000 0.5481 x2

Properties
total magnetic moment	0.00	μB/f.u.
crystal system	orthorhombic
total energy	-6.34	eV/atom
formation enthalpy at 0 K	-0.16	eV/atom
energy above the most stable polymorph in this dataset	34	meV per atom

***

[21]
A plane-wave DFT calculation with GGA-PBEsol was carried out for a relaxed YIn4 crystal.

a b c (Å): 6.9073 6.9073 6.9073
angles (deg): 90.00 90.00 90.00
Space group Im-3m (No. 229)
Unique sites:
Y 0.0000 0.0000 0.0000 x2
In 0.2500 0.2500 0.2500 x8

Properties
total magnetic moment	0.00	μB/f.u.
crystal system	cubic
total energy	-3.54	eV/atom
formation enthalpy at 0 K	0.21	eV/atom

***

[22]
A plane-wave DFT calculation with GGA-PBEsol was carried out for a relaxed YIn2 crystal.

a b c (Å): 4.9385 4.9385 6.8954
angles (deg): 90.00 90.00 120.00
Space group P6_3/mmc (No. 194)
Unique sites:
Y 0.0000 0.0000 0.2500 x2
In 0.3333 0.6667 0.0108 x4

Properties
total magnetic moment	0.00	μB/f.u.
crystal system	hexagonal
total energy	-4.75	eV/atom
formation enthalpy at 0 K	-0.49	eV/atom

***

[23]
A plane-wave DFT calculation with GGA-PBEsol was carried out for a relaxed YIn8 crystal.

a b c (Å): 9.9491 9.9491 4.4927
angles (deg): 90.00 90.00 90.00
Space group I4/mmm (No. 139)
Unique sites:
Y 0.0000 0.0000 0.0000 x2
In 0.0000 0.3342 0.0000 x8
In 0.1692 0.1692 0.5000 x8

Properties
total magnetic moment	0.00	μB/f.u.
crystal system	tetragonal
total energy	-3.54	eV/atom
formation enthalpy at 0 K	-0.14	eV/atom

***

[24]
A plane-wave DFT calculation with GGA-PBEsol was carried out for a relaxed Y3In5 crystal.

a b c (Å): 12.1121 10.2388 6.3791
angles (deg): 90.00 90.00 90.00
Space group Pnma (No. 62)
Unique sites:
Y 0.0566 0.2500 0.1479 x4
Y 0.1434 0.5070 0.6099 x8
In 0.0061 0.2500 0.6168 x4
In 0.0987 0.5449 0.1243 x8
In 0.2166 0.7500 0.8756 x4
In 0.2464 0.2500 0.8488 x4

Properties
total magnetic moment	0.00	μB/f.u.
crystal system	orthorhombic
total energy	-4.98	eV/atom
formation enthalpy at 0 K	-0.56	eV/atom
energy above the most stable polymorph in this dataset	0	meV per atom

***

[25]
A plane-wave DFT calculation with GGA-PBEsol was carried out for a relaxed Y5In crystal.

a b c (Å): 6.0087 6.0087 5.4891
angles (deg): 90.00 90.00 120.00
Space group P-62m (No. 189)
Unique sites:
Y 0.0000 0.3135 0.0000 x3
Y 0.3333 0.6667 0.5000 x2
In 0.0000 0.0000 0.5000 x1

Properties
total magnetic moment	0.01	μB/f.u.
crystal system	hexagonal
total energy	-6.32	eV/atom
formation enthalpy at 0 K	-0.14	eV/atom
energy above the most stable polymorph in this dataset	52	meV per atom

***

[26]
A plane-wave DFT calculation with GGA-PBEsol was carried out for a relaxed Y2In crystal.

a b c (Å): 4.2371 15.6458 4.9175
angles (deg): 90.00 90.00 90.00
Space group Cmcm (No. 63)
Unique sites:
Y 0.0000 0.0760 0.2500 x4
Y 0.0000 0.2317 0.7500 x4
In 0.0000 0.4131 0.2500 x4

Properties
total magnetic moment	0.00	μB/f.u.
crystal system	orthorhombic
total energy	-5.92	eV/atom
formation enthalpy at 0 K	-0.38	eV/atom

***

[27]
A plane-wave DFT calculation with GGA-PBEsol was carried out for a relaxed Y5In3 crystal.

a b c (Å): 8.9524 8.9524 6.4439
angles (deg): 90.00 90.00 120.00
Space group P6_3/mcm (No. 193)
Unique sites:
Y 0.0000 0.2368 0.2500 x6
Y 0.3333 0.6667 0.0000 x4
In 0.0000 0.4015 0.7500 x6

Properties
total magnetic moment	0.00	μB/f.u.
crystal system	hexagonal
total energy	-5.83	eV/atom
formation enthalpy at 0 K	-0.45	eV/atom
energy above the most stable polymorph in this dataset	0	meV per atom